Model i:
Mg3ZnIn | PBE | optimized geometry

Cell: 5.355 5.355 5.355 Å, 90.00 90.00 90.00°
Fractional coordinates of all 5 atoms:
Mg 0.000 0.000 0.500
Mg 0.000 0.500 0.000
Mg 0.500 0.000 0.000
Zn 0.500 0.500 0.500
In 0.000 0.000 0.000

Summary:
- symmetry = Pm-3m
- density of states at the Fermi level (states/eV/f.u.) = 2.88
- volume (Å³ per atom) = 30.72

***

Model ii:
Mg3ZnIn | PBE | optimized geometry

Cell: 5.626 5.626 9.244 Å, 95.04 95.04 47.00°
Fractional coordinates of all 10 atoms:
Mg 0.039 0.039 0.339
Mg 0.272 0.272 0.783
Mg 0.416 0.416 0.124
Mg 0.584 0.584 0.876
Mg 0.728 0.728 0.217
Mg 0.961 0.961 0.661
Zn 0.123 0.123 0.058
Zn 0.877 0.877 0.942
In 0.348 0.348 0.440
In 0.652 0.652 0.560

Summary:
- symmetry = C2/m
- density of states at the Fermi level (states/eV/f.u.) = 1.71
- volume (Å³ per atom) = 21.30

***

Winner for stability: model ii

***

Model i:
MgZr4In | PBE | optimized geometry

Cell: 5.837 5.837 5.837 Å, 60.00 60.00 60.00°
Fractional coordinates of all 6 atoms:
Mg 0.000 0.000 0.000
Zr 0.124 0.625 0.625
Zr 0.625 0.124 0.625
Zr 0.625 0.625 0.124
Zr 0.625 0.625 0.625
In 0.250 0.250 0.250

Summary:
- symmetry = F-43m
- density of states at the Fermi level (states/eV/f.u.) = 6.96
- volume (Å³ per atom) = 23.44

***

Model ii:
MgZr4In | PBE | optimized geometry

Cell: 4.345 14.281 4.391 Å, 90.00 90.00 90.00°
Fractional coordinates of all 12 atoms:
Mg 0.000 0.000 0.000
Mg 0.500 0.500 0.000
Zr 0.000 0.169 0.500
Zr 0.000 0.331 0.000
Zr 0.000 0.669 0.000
Zr 0.000 0.831 0.500
Zr 0.500 0.169 0.000
Zr 0.500 0.331 0.500
Zr 0.500 0.669 0.500
Zr 0.500 0.831 0.000
In 0.000 0.500 0.500
In 0.500 0.000 0.500

Summary:
- symmetry = Cmmm
- density of states at the Fermi level (states/eV/f.u.) = 5.61
- volume (Å³ per atom) = 22.71

***

Winner for stability: model ii

***

Model i:
Mg2ZrIn2 | PBE | optimized geometry

Cell: 8.240 8.240 3.348 Å, 90.00 90.00 90.00°
Fractional coordinates of all 10 atoms:
Mg 0.162 0.338 0.000
Mg 0.338 0.838 0.000
Mg 0.662 0.162 0.000
Mg 0.838 0.662 0.000
Zr 0.000 0.000 0.500
Zr 0.500 0.500 0.500
In 0.139 0.639 0.500
In 0.361 0.139 0.500
In 0.639 0.861 0.500
In 0.861 0.361 0.500

Summary:
- symmetry = P4/mbm
- density of states at the Fermi level (states/eV/f.u.) = 2.27
- volume (Å³ per atom) = 22.73

***

Model ii:
Mg2ZrIn2 | PBE | optimized geometry

Cell: 4.219 4.219 13.007 Å, 90.00 90.00 90.00°
Fractional coordinates of all 10 atoms:
Mg 0.000 0.500 0.250
Mg 0.000 0.500 0.750
Mg 0.500 0.000 0.250
Mg 0.500 0.000 0.750
Zr 0.000 0.000 0.000
Zr 0.500 0.500 0.500
In 0.000 0.000 0.397
In 0.000 0.000 0.603
In 0.500 0.500 0.103
In 0.500 0.500 0.897

Summary:
- symmetry = I4/mmm
- density of states at the Fermi level (states/eV/f.u.) = 2.49
- volume (Å³ per atom) = 23.16

***

Winner for stability: model i

***

Model i:
Mg2ZrIn2 | PBE | optimized geometry

Cell: 8.276 8.276 3.252 Å, 90.00 90.00 90.00°
Fractional coordinates of all 10 atoms:
Mg 0.125 0.375 0.000
Mg 0.375 0.875 0.000
Mg 0.625 0.125 0.000
Mg 0.875 0.625 0.000
Zr 0.000 0.000 0.000
Zr 0.500 0.500 0.000
In 0.175 0.675 0.500
In 0.325 0.175 0.500
In 0.675 0.825 0.500
In 0.825 0.325 0.500

Summary:
- symmetry = P4/mbm
- density of states at the Fermi level (states/eV/f.u.) = 3.73
- volume (Å³ per atom) = 22.28

***

Model ii:
Mg2ZrIn2 | PBE | optimized geometry

Cell: 4.848 4.848 12.394 Å, 90.00 90.00 120.00°
Fractional coordinates of all 10 atoms:
Mg 0.000 0.000 0.000
Mg 0.000 0.000 0.500
Mg 0.333 0.667 0.250
Mg 0.667 0.333 0.750
Zr 0.000 0.000 0.250
Zr 0.000 0.000 0.750
In 0.333 0.667 0.625
In 0.333 0.667 0.875
In 0.667 0.333 0.125
In 0.667 0.333 0.375

Summary:
- symmetry = P6_3/mmc
- density of states at the Fermi level (states/eV/f.u.) = 4.51
- volume (Å³ per atom) = 25.23

***

Winner for stability: model i

***

Model i:
Mg4ZrIn | PBE | optimized geometry

Cell: 3.550 3.550 10.578 Å, 90.00 90.00 90.00°
Fractional coordinates of all 6 atoms:
Mg 0.000 0.000 0.168
Mg 0.000 0.000 0.832
Mg 0.500 0.500 0.331
Mg 0.500 0.500 0.669
Zr 0.000 0.000 0.500
In 0.500 0.500 0.000

Summary:
- symmetry = P4/mmm
- density of states at the Fermi level (states/eV/f.u.) = 2.67
- volume (Å³ per atom) = 22.22

***

Model ii:
Mg4ZrIn | PBE | optimized geometry

Cell: 5.791 5.791 5.791 Å, 60.00 60.00 60.00°
Fractional coordinates of all 6 atoms:
Mg 0.124 0.124 0.124
Mg 0.124 0.124 0.627
Mg 0.124 0.627 0.124
Mg 0.627 0.124 0.124
Zr 0.750 0.750 0.750
In 0.500 0.500 0.500

Summary:
- symmetry = F-43m
- density of states at the Fermi level (states/eV/f.u.) = 5.77
- volume (Å³ per atom) = 22.89

***

Winner for stability: model i

***

Model i:
MgZr6In | PBE | optimized geometry

Cell: 5.653 5.655 5.657 Å, 90.00 89.98 89.96°
Fractional coordinates of all 8 atoms:
Mg 0.000 0.000 0.000
Zr 0.000 0.250 0.500
Zr 0.000 0.750 0.500
Zr 0.250 0.499 0.001
Zr 0.500 0.000 0.250
Zr 0.500 0.000 0.750
Zr 0.750 0.501 0.999
In 0.500 0.500 0.500

Summary:
- symmetry = P-1
- density of states at the Fermi level (states/eV/f.u.) = 5.48
- volume (Å³ per atom) = 22.60

***

Model ii:
MgZr6In | PBE | optimized geometry

Cell: 4.479 4.479 8.955 Å, 90.00 90.00 90.00°
Fractional coordinates of all 8 atoms:
Mg 0.000 0.000 0.000
Zr 0.000 0.500 0.250
Zr 0.000 0.500 0.750
Zr 0.500 0.000 0.250
Zr 0.500 0.000 0.750
Zr 0.500 0.500 0.000
Zr 0.500 0.500 0.500
In 0.000 0.000 0.500

Summary:
- symmetry = P4/mmm
- density of states at the Fermi level (states/eV/f.u.) = 9.14
- volume (Å³ per atom) = 22.45

***

Winner for stability: model ii

***

Model i:
Mn5In4 | PBE | optimized geometry

Cell: 8.066 8.066 5.645 Å, 90.00 90.00 120.00°
Fractional coordinates of all 18 atoms:
Mn 0.000 0.304 0.250
Mn 0.000 0.696 0.750
Mn 0.304 0.000 0.250
Mn 0.304 0.304 0.750
Mn 0.333 0.667 0.000
Mn 0.333 0.667 0.500
Mn 0.667 0.333 0.000
Mn 0.667 0.333 0.500
Mn 0.696 0.000 0.750
Mn 0.696 0.696 0.250
In 0.000 0.000 0.000
In 0.000 0.000 0.500
In 0.000 0.369 0.750
In 0.000 0.631 0.250
In 0.369 0.000 0.750
In 0.369 0.369 0.250
In 0.631 0.000 0.250
In 0.631 0.631 0.750

Summary:
- symmetry = P6_3/mcm
- density of states at the Fermi level (states/eV/f.u.) = 8.03
- volume (Å³ per atom) = 17.67

***

Model ii:
Mn5In4 | PBE | optimized geometry

Cell: 6.525 6.525 6.525 Å, 95.96 95.96 142.39°
Fractional coordinates of all 9 atoms:
Mn 0.000 0.000 0.000
Mn 0.342 0.342 0.684
Mn 0.342 0.658 0.000
Mn 0.658 0.342 0.000
Mn 0.658 0.658 0.316
In 0.000 0.311 0.311
In 0.000 0.689 0.689
In 0.311 0.000 0.311
In 0.689 0.000 0.689

Summary:
- symmetry = I4/mmm
- density of states at the Fermi level (states/eV/f.u.) = 9.00
- volume (Å³ per atom) = 17.83

***

Winner for stability: model ii

***

Model i:
MnIn2Mo | PBE | optimized geometry

Cell: 4.018 4.018 9.130 Å, 90.00 90.00 90.00°
Fractional coordinates of all 8 atoms:
Mn 0.000 0.000 0.000
Mn 0.500 0.500 0.500
In 0.000 0.000 0.500
In 0.000 0.500 0.250
In 0.500 0.000 0.750
In 0.500 0.500 0.000
Mo 0.000 0.500 0.750
Mo 0.500 0.000 0.250

Summary:
- symmetry = I-4m2
- density of states at the Fermi level (states/eV/f.u.) = 4.19
- volume (Å³ per atom) = 18.43

***

Model ii:
MnIn2Mo | PBE | optimized geometry

Cell: 10.842 3.032 4.901 Å, 90.00 112.61 90.00°
Fractional coordinates of all 8 atoms:
Mn 0.000 0.000 0.000
Mn 0.500 0.500 0.000
In 0.046 0.500 0.537
In 0.263 0.500 0.175
In 0.546 0.000 0.537
In 0.763 0.000 0.175
Mo 0.304 0.000 0.705
Mo 0.804 0.500 0.705

Summary:
- symmetry = Cm
- density of states at the Fermi level (states/eV/f.u.) = 2.45
- volume (Å³ per atom) = 18.59

***

Model iii:
MnIn2Mo | PBE | optimized geometry

Cell: 3.018 3.018 8.108 Å, 90.00 90.00 90.00°
Fractional coordinates of all 4 atoms:
Mn 0.000 0.000 0.000
In 0.000 0.000 0.418
In 0.500 0.500 0.769
Mo 0.500 0.500 0.159

Summary:
- symmetry = P4mm
- density of states at the Fermi level (states/eV/f.u.) = 3.73
- volume (Å³ per atom) = 18.47

***

Winner for stability: model iii

***

Model i:
MnIn2Mo | PBE | optimized geometry

Cell: 7.427 7.427 5.756 Å, 90.00 90.00 90.00°
Fractional coordinates of all 16 atoms:
Mn 0.000 0.000 0.000
Mn 0.000 0.500 0.250
Mn 0.500 0.000 0.750
Mn 0.500 0.500 0.500
In 0.238 0.250 0.125
In 0.250 0.738 0.375
In 0.250 0.762 0.875
In 0.262 0.250 0.625
In 0.738 0.750 0.625
In 0.750 0.238 0.875
In 0.750 0.262 0.375
In 0.762 0.750 0.125
Mo 0.000 0.000 0.500
Mo 0.000 0.500 0.750
Mo 0.500 0.000 0.250
Mo 0.500 0.500 0.000

Summary:
- symmetry = I-42d
- density of states at the Fermi level (states/eV/f.u.) = 3.11
- volume (Å³ per atom) = 19.84

***

Model ii:
MnIn2Mo | PBE | optimized geometry

Cell: 3.034 3.034 27.846 Å, 90.00 90.00 120.00°
Fractional coordinates of all 12 atoms:
Mn 0.000 0.000 0.000
Mn 0.333 0.667 0.667
Mn 0.667 0.333 0.333
In 0.000 0.000 0.251
In 0.000 0.000 0.749
In 0.333 0.667 0.415
In 0.333 0.667 0.918
In 0.667 0.333 0.082
In 0.667 0.333 0.585
Mo 0.000 0.000 0.500
Mo 0.333 0.667 0.167
Mo 0.667 0.333 0.833

Summary:
- symmetry = R-3m
- density of states at the Fermi level (states/eV/f.u.) = 3.08
- volume (Å³ per atom) = 18.50

***

Winner for stability: model ii

***

Model i:
MnIn2Mo | PBE | optimized geometry

Cell: 4.201 4.201 4.112 Å, 90.00 90.00 90.00°
Fractional coordinates of all 4 atoms:
Mn 0.000 0.000 0.000
In 0.000 0.500 0.500
In 0.500 0.000 0.500
Mo 0.500 0.500 0.000

Summary:
- symmetry = P4/mmm
- density of states at the Fermi level (states/eV/f.u.) = 2.26
- volume (Å³ per atom) = 18.14

***

Model ii:
MnIn2Mo | PBE | optimized geometry

Cell: 4.125 4.139 8.569 Å, 90.00 90.00 90.00°
Fractional coordinates of all 8 atoms:
Mn 0.000 0.000 0.000
Mn 0.500 0.500 0.500
In 0.000 0.500 0.250
In 0.000 0.500 0.750
In 0.500 0.000 0.250
In 0.500 0.000 0.750
Mo 0.000 0.000 0.500
Mo 0.500 0.500 0.000

Summary:
- symmetry = Immm
- density of states at the Fermi level (states/eV/f.u.) = 2.62
- volume (Å³ per atom) = 18.29

***

Model iii:
MnIn2Mo | PBE | optimized geometry

Cell: 6.494 6.494 6.494 Å, 90.00 90.00 90.00°
Fractional coordinates of all 16 atoms:
Mn 0.000 0.000 0.000
Mn 0.000 0.500 0.500
Mn 0.500 0.000 0.500
Mn 0.500 0.500 0.000
In 0.250 0.250 0.250
In 0.250 0.250 0.750
In 0.250 0.750 0.250
In 0.250 0.750 0.750
In 0.750 0.250 0.250
In 0.750 0.250 0.750
In 0.750 0.750 0.250
In 0.750 0.750 0.750
Mo 0.000 0.000 0.500
Mo 0.000 0.500 0.000
Mo 0.500 0.000 0.000
Mo 0.500 0.500 0.500

Summary:
- symmetry = Fm-3m
- density of states at the Fermi level (states/eV/f.u.) = 11.47
- volume (Å³ per atom) = 17.12

***

Model iv:
MnIn2Mo | PBE | optimized geometry

Cell: 6.633 6.633 6.633 Å, 90.00 90.00 90.00°
Fractional coordinates of all 16 atoms:
Mn 0.000 0.000 0.000
Mn 0.000 0.500 0.500
Mn 0.500 0.000 0.500
Mn 0.500 0.500 0.000
In 0.000 0.000 0.500
In 0.000 0.500 0.000
In 0.250 0.250 0.250
In 0.250 0.750 0.750
In 0.500 0.000 0.000
In 0.500 0.500 0.500
In 0.750 0.250 0.750
In 0.750 0.750 0.250
Mo 0.250 0.250 0.750
Mo 0.250 0.750 0.250
Mo 0.750 0.250 0.250
Mo 0.750 0.750 0.750

Summary:
- symmetry = F-43m
- density of states at the Fermi level (states/eV/f.u.) = 2.00
- volume (Å³ per atom) = 18.24

***

Winner for stability: model i

***

Model i:
MnIn2Mo | PBE | optimized geometry

Cell: 2.898 4.177 5.965 Å, 90.00 90.00 90.00°
Fractional coordinates of all 4 atoms:
Mn 0.000 0.000 0.000
In 0.500 0.500 0.249
In 0.500 0.500 0.751
Mo 0.000 0.000 0.500

Summary:
- symmetry = Pmmm
- density of states at the Fermi level (states/eV/f.u.) = 2.49
- volume (Å³ per atom) = 18.06

***

Model ii:
MnIn2Mo | PBE | optimized geometry

Cell: 5.954 8.306 2.939 Å, 90.00 90.00 90.00°
Fractional coordinates of all 8 atoms:
Mn 0.000 0.000 0.000
Mn 0.500 0.500 0.000
In 0.250 0.250 0.500
In 0.250 0.750 0.500
In 0.750 0.250 0.500
In 0.750 0.750 0.500
Mo 0.000 0.500 0.000
Mo 0.500 0.000 0.000

Summary:
- symmetry = Cmmm
- density of states at the Fermi level (states/eV/f.u.) = 3.14
- volume (Å³ per atom) = 18.17

***

Winner for stability: model ii

***

Model i:
MnIn2Mo | PBE | optimized geometry

Cell: 9.489 2.975 5.353 Å, 90.00 100.51 90.00°
Fractional coordinates of all 8 atoms:
Mn 0.000 0.000 0.000
Mn 0.500 0.500 0.000
In 0.249 0.500 0.251
In 0.251 0.000 0.749
In 0.749 0.000 0.251
In 0.751 0.500 0.749
Mo 0.000 0.500 0.500
Mo 0.500 0.000 0.500

Summary:
- symmetry = C2/m
- density of states at the Fermi level (states/eV/f.u.) = 2.27
- volume (Å³ per atom) = 18.58

***

Model ii:
MnIn2Mo | PBE | optimized geometry

Cell: 2.991 4.782 5.107 Å, 90.00 90.00 90.00°
Fractional coordinates of all 4 atoms:
Mn 0.000 0.000 0.000
In 0.500 0.000 0.531
In 0.500 0.500 0.169
Mo 0.000 0.500 0.689

Summary:
- symmetry = Pmm2
- density of states at the Fermi level (states/eV/f.u.) = 3.10
- volume (Å³ per atom) = 18.26

***

Winner for stability: model ii